NbBiO2F: single point on PBEsol structure, meta-GGA SCAN.

Values from the calculation:
- crystal system = tetragonal
- total energy (eV per cell) = -135.67
- formation energy from raw total energies (eV per formula unit) = -8.0

Cell: 4.0462 4.0462 4.3296 Å, 90.00 90.00 90.00°
Closest atoms and distances in Å follow each position.
Atoms (fractional coordinates):
Nb: 0.0000 0.0000 0.0000  4 O 2.02, 2 F 2.16
Bi: 0.5000 0.5000 0.5000  4 F 2.86, 8 O 2.96
O: 0.0000 0.5000 0.0000  2 Nb 2.02
O: 0.5000 0.0000 0.0000  2 Nb 2.02
F: 0.0000 0.0000 0.5000  2 Nb 2.16

NbRe2BiF: single point on PBEsol structure, meta-GGA SCAN.

Values from the calculation:
- crystal system = tetragonal
- total energy (eV per cell) = -253.28
- formation energy from raw total energies (eV per formula unit) = 4.2

Cell: 4.9015 4.9015 3.9500 Å, 90.00 90.00 90.00°
Closest atoms and distances in Å follow each position.
Atoms (fractional coordinates):
Nb: 0.0000 0.0000 0.0000  2 F 1.97
Re: 0.0000 0.5000 0.0000  2 Nb 2.45
Re: 0.5000 0.0000 0.0000  2 Nb 2.45
Bi: 0.5000 0.5000 0.5000  8 Re 3.15, 4 F 3.47
F: 0.0000 0.0000 0.5000  2 Nb 1.97

NiBi2F: single point on PBEsol structure, meta-GGA SCAN.

Values from the calculation:
- crystal system = tetragonal
- total energy (eV per cell) = -712.41
- formation energy from raw total energies (eV per formula unit) = -1.2

Cell: 5.1391 5.1391 13.8157 Å, 90.00 90.00 90.00°
Closest atoms and distances in Å follow each position.
Atoms (fractional coordinates):
Ni: 0.0000 0.0000 0.0000  4 Bi 2.50
Ni: 0.0000 0.5000 0.2500  4 Bi 2.50
Ni: 0.5000 0.0000 0.7500  4 Bi 2.50
Ni: 0.5000 0.5000 0.5000  4 Bi 2.50
Bi: 0.2481 0.2500 0.1250  2 Ni 2.50, 2 F 2.51
Bi: 0.2500 0.7481 0.3750  2 Ni 2.50, 2 F 2.51
Bi: 0.2500 0.7519 0.8750  2 Ni 2.50, 2 F 2.51
Bi: 0.2519 0.2500 0.6250  2 Ni 2.50, 2 F 2.51
Bi: 0.7481 0.7500 0.6250  2 Ni 2.50, 2 F 2.51
Bi: 0.7500 0.2481 0.8750  2 Ni 2.50, 2 F 2.51
Bi: 0.7500 0.2519 0.3750  2 Ni 2.50, 2 F 2.51
Bi: 0.7519 0.7500 0.1250  2 Ni 2.50, 2 F 2.51
F: 0.0000 0.0000 0.5000  4 Bi 2.51
F: 0.0000 0.5000 0.7500  4 Bi 2.51
F: 0.5000 0.0000 0.2500  4 Bi 2.51
F: 0.5000 0.5000 0.0000  4 Bi 2.51

NiBiO2F: single point on PBEsol structure, meta-GGA SCAN.

Values from the calculation:
- crystal system = tetragonal
- total energy (eV per cell) = -116.88
- formation energy from raw total energies (eV per formula unit) = -6.1

Cell: 3.8635 3.8635 3.7868 Å, 90.00 90.00 90.00°
Closest atoms and distances in Å follow each position.
Atoms (fractional coordinates):
Ni: 0.0000 0.0000 0.0000  2 F 1.89, 4 O 1.93
Bi: 0.5000 0.5000 0.5000  8 O 2.70, 4 F 2.73
O: 0.0000 0.5000 0.0000  2 Ni 1.93
O: 0.5000 0.0000 0.0000  2 Ni 1.93
F: 0.0000 0.0000 0.5000  2 Ni 1.89

Bi4O5F2: single point on PBEsol structure, meta-GGA SCAN.

Values from the calculation:
- crystal system = orthorhombic
- total energy (eV per cell) = -1473.68
- formation energy from raw total energies (eV per formula unit) = -15.9

Cell: 8.6709 8.3896 8.9755 Å, 90.00 90.00 90.00°
Closest atoms and distances in Å follow each position.
Atoms (fractional coordinates):
Bi: 0.0038 0.2500 0.0674  2 O 2.19, 1 F 2.27
Bi: 0.0438 0.7500 0.5110  3 O 2.17-2.18
Bi: 0.2461 0.0380 0.7198  3 O 2.17-2.28
Bi: 0.2461 0.4620 0.7198  3 O 2.17-2.28
Bi: 0.2539 0.5380 0.2198  3 O 2.17-2.28
Bi: 0.2539 0.9620 0.2198  3 O 2.17-2.28
Bi: 0.4562 0.2500 0.0110  3 O 2.17-2.18
Bi: 0.4962 0.7500 0.5674  2 O 2.19, 1 F 2.27
Bi: 0.5038 0.2500 0.4326  2 O 2.19, 1 F 2.27
Bi: 0.5438 0.7500 0.9890  3 O 2.17-2.18
Bi: 0.7461 0.0380 0.7802  3 O 2.17-2.28
Bi: 0.7461 0.4620 0.7802  3 O 2.17-2.28
Bi: 0.7539 0.5380 0.2802  3 O 2.17-2.28
Bi: 0.7539 0.9620 0.2802  3 O 2.17-2.28
Bi: 0.9562 0.2500 0.4890  3 O 2.17-2.18
Bi: 0.9962 0.7500 0.9326  2 O 2.19, 1 F 2.27
O: 0.0147 0.5615 0.6736  2 Bi 2.17-2.21
O: 0.0147 0.9385 0.6736  2 Bi 2.17-2.21
O: 0.1670 0.0602 0.0131  2 Bi 2.17-2.19
O: 0.1670 0.4398 0.0131  2 Bi 2.17-2.19
O: 0.1930 0.2500 0.5691  3 Bi 2.18-2.28
O: 0.3070 0.7500 0.0691  3 Bi 2.18-2.28
O: 0.3330 0.5602 0.5131  2 Bi 2.17-2.19
O: 0.3330 0.9398 0.5131  2 Bi 2.17-2.19
O: 0.4853 0.0615 0.1736  2 Bi 2.17-2.21
O: 0.4853 0.4385 0.1736  2 Bi 2.17-2.21
O: 0.5147 0.5615 0.8264  2 Bi 2.17-2.21
O: 0.5147 0.9385 0.8264  2 Bi 2.17-2.21
O: 0.6670 0.0602 0.4869  2 Bi 2.17-2.19
O: 0.6670 0.4398 0.4869  2 Bi 2.17-2.19
O: 0.6930 0.2500 0.9309  3 Bi 2.18-2.28
O: 0.8070 0.7500 0.4309  3 Bi 2.18-2.28
O: 0.8330 0.5602 0.9869  2 Bi 2.17-2.19
O: 0.8330 0.9398 0.9869  2 Bi 2.17-2.19
O: 0.9853 0.0615 0.3264  2 Bi 2.17-2.21
O: 0.9853 0.4385 0.3264  2 Bi 2.17-2.21
F: 0.0163 0.7500 0.1846  1 Bi 2.27
F: 0.2310 0.2500 0.2486  3 Bi 2.44-2.55, 2 O 2.70
F: 0.2690 0.7500 0.7486  3 Bi 2.44-2.55, 2 O 2.70
F: 0.4837 0.2500 0.6846  1 Bi 2.27
F: 0.5163 0.7500 0.3154  1 Bi 2.27
F: 0.7310 0.2500 0.2514  3 Bi 2.44-2.55, 2 O 2.70
F: 0.7690 0.7500 0.7514  3 Bi 2.44-2.55, 2 O 2.70
F: 0.9837 0.2500 0.8154  1 Bi 2.27